# 1
A relaxed structure of Dy2TmAu, computed with PBE-GGA.

```
data_Dy2TmAu
_cell_length_a 4.699
_cell_length_b 4.699
_cell_length_c 4.683
_cell_angle_alpha 90.00
_cell_angle_beta 90.00
_cell_angle_gamma 90.00
_space_group_name_H-M_alt 'P 4/m m m'
_space_group_IT_number 123
_space_group_name_Hall '-P 4 2'
loop_
_atom_site_label
_atom_site_fract_x
_atom_site_fract_y
_atom_site_fract_z
_atom_site_occupancy
Dy1 0.000 0.500 0.000 1
Tm1 0.000 0.000 0.500 1
Au1 0.500 0.500 0.500 1
```

ΔH_f (0 K)   -0.2532 eV/atom


# 2
A relaxed structure of La12Ga3C5, computed with PBE-GGA.

```
data_La12Ga3C5
_cell_length_a 16.590
_cell_length_b 16.590
_cell_length_c 16.590
_cell_angle_alpha 90.00
_cell_angle_beta 90.00
_cell_angle_gamma 90.00
_space_group_name_H-M_alt 'I a -3 d'
_space_group_IT_number 230
_space_group_name_Hall '-I 4bd 2c 3'
loop_
_atom_site_label
_atom_site_fract_x
_atom_site_fract_y
_atom_site_fract_z
_atom_site_occupancy
La1 0.031 0.055 0.649 1
Ga1 0.000 0.250 0.125 1
C1 0.000 0.000 0.000 1
C2 0.000 0.250 0.375 1
```

ΔH_f (0 K)   -0.1074 eV/atom


Number 1: density of states at the Fermi level 4.9 states/eV/cell. Number 2: density of states at the Fermi level 100.5 states/eV/cell.